RbCu2 after structural relaxation, computed with PBE-GGA.

Cell: 5.577 5.577 5.577 Å, 60.00 60.00 60.00°
Positions (direct):
Cu  0.625  0.625  0.125
Cu  0.125  0.625  0.625
Cu  0.625  0.625  0.625
Cu  0.625  0.125  0.625
Rb  0.250  0.250  0.250
Rb  0.000  0.000  0.000

Results
V: 20.4 Å³/atom
E: -2.29 eV/atom
energy above the most stable polymorph in this dataset: 0.00 eV per formula unit


SmHg after structural relaxation, computed with PBE-GGA.

Cell: 4.507 4.507 6.899 Å, 90.00 90.00 120.00°
Positions (direct):
Hg  0.000  0.000  0.000
Hg  0.000  0.000  0.500
Sm  0.667  0.333  0.250
Sm  0.333  0.667  0.750

Results
V: 30.3 Å³/atom
energy relative to the elements: -0.27 eV/atom
E: -2.78 eV/atom


Gd2YGa3AgPt2 after structural relaxation, computed with PBE-GGA.

Cell: 3.804 7.492 7.492 Å, 119.95 90.00 90.00°
Positions (direct):
Y  0.000  0.592  0.592
Ga  0.500  0.731  0.999
Ga  0.500  0.270  0.270
Ga  0.500  0.999  0.731
Gd  0.000  0.409  0.000
Gd  0.000  0.000  0.409
Pt  0.500  0.333  0.666
Pt  0.500  0.666  0.333
Ag  0.000  0.000  0.000

Results
V: 20.6 Å³/atom
E: -5.30 eV/atom


Cu2Ag3 after structural relaxation, computed with PBE-GGA.

Cell: 10.138 10.138 3.937 Å, 90.00 90.00 157.33°
Positions (direct):
Cu  0.646  0.354  0.750
Cu  0.049  0.951  0.750
Cu  0.354  0.646  0.250
Cu  0.951  0.049  0.250
Ag  0.854  0.146  0.750
Ag  0.750  0.250  0.250
Ag  0.549  0.451  0.250
Ag  0.250  0.750  0.750
Ag  0.451  0.549  0.750
Ag  0.146  0.854  0.250

Results
V: 15.6 Å³/atom
energy relative to the elements: 0.10 eV/atom
E: -3.09 eV/atom
energy above the most stable polymorph in this dataset: 0.31 eV per formula unit